A PBEsol-optimized structure of Ti5CuSb3. Source: the Alexandria database, functional SCAN. Values from VASP.

Properties
Magnetization = 0.00 μB/f.u.
SG = No. 193
E_tot = -424.71 eV per cell
Energy relative to the elements, uncorrected = -0.58 eV per atom

Quantum ESPRESSO input file:
```
&SYSTEM
  ibrav = 0, nat = 18, ntyp = 3
/
ATOMIC_SPECIES
Sb 121.76 Sb.upf
Ti 47.87 Ti.upf
Cu 63.55 Cu.upf
CELL_PARAMETERS angstrom
5.433 0.000 0.000
0.000 8.080 0.000
0.000 -4.040 6.997
ATOMIC_POSITIONS crystal
Sb 0.250 0.000 0.383
Sb 0.250 0.383 0.000
Sb 0.750 0.617 0.000
Sb 0.250 0.617 0.617
Sb 0.750 0.000 0.617
Sb 0.750 0.383 0.383
Ti 0.500 0.333 0.667
Ti 0.250 0.732 0.000
Ti 0.000 0.667 0.333
Ti 0.250 0.000 0.732
Ti 0.750 0.000 0.268
Ti 0.000 0.333 0.667
Ti 0.750 0.268 0.000
Ti 0.750 0.732 0.732
Ti 0.500 0.667 0.333
Ti 0.250 0.268 0.268
Cu 0.000 0.000 0.000
Cu 0.500 0.000 0.000
```



A PBEsol-optimized structure of TlCu2Sb2. Source: the Alexandria database, functional SCAN. Values from VASP.

Properties
Magnetization = 0.00 μB/f.u.
SG = No. 139
E_tot = -176.84 eV per cell
Energy relative to the elements, uncorrected = 0.09 eV per atom

Quantum ESPRESSO input file:
```
&SYSTEM
  ibrav = 0, nat = 5, ntyp = 3
/
ATOMIC_SPECIES
Sb 121.76 Sb.upf
Tl 204.38 Tl.upf
Cu 63.55 Cu.upf
CELL_PARAMETERS angstrom
-3.870 -1.308 -1.723
2.162 -2.215 -3.175
0.950 -2.834 5.720
ATOMIC_POSITIONS crystal
Sb 0.629 0.629 0.258
Sb 0.371 0.371 0.742
Tl 0.000 0.000 0.000
Cu 0.250 0.750 0.500
Cu 0.750 0.250 0.500
```



A PBEsol-optimized structure of TlCu2Sb. Source: the Alexandria database, functional SCAN. Values from VASP.

Properties
Magnetization = 0.00 μB/f.u.
SG = No. 216
E_tot = -137.69 eV per cell
Energy relative to the elements, uncorrected = 0.58 eV per atom

Quantum ESPRESSO input file:
```
&SYSTEM
  ibrav = 0, nat = 4, ntyp = 3
/
ATOMIC_SPECIES
Sb 121.76 Sb.upf
Cu 63.55 Cu.upf
Tl 204.38 Tl.upf
CELL_PARAMETERS angstrom
-0.681 -4.734 0.017
3.657 -2.939 0.933
0.131 -2.421 4.123
ATOMIC_POSITIONS crystal
Sb 0.500 0.500 0.500
Cu 0.000 0.000 0.000
Cu 0.250 0.250 0.250
Tl 0.750 0.750 0.750
```



A PBEsol-optimized structure of TlCu2Sb. Source: the Alexandria database, functional SCAN. Values from VASP.

Properties
Magnetization = 0.00 μB/f.u.
SG = No. 123
E_tot = -138.54 eV per cell
Energy relative to the elements, uncorrected = 0.37 eV per atom

Quantum ESPRESSO input file:
```
&SYSTEM
  ibrav = 0, nat = 4, ntyp = 3
/
ATOMIC_SPECIES
Tl 204.38 Tl.upf
Cu 63.55 Cu.upf
Sb 121.76 Sb.upf
CELL_PARAMETERS angstrom
-0.109 3.298 -1.157
-3.538 -1.079 -2.742
-2.943 1.085 3.371
ATOMIC_POSITIONS crystal
Tl 0.500 0.000 0.000
Cu 0.000 0.000 0.500
Cu 0.000 0.500 0.000
Sb 0.500 0.500 0.500
```



A PBEsol-optimized structure of Tl2CuSb. Source: the Alexandria database, functional SCAN. Values from VASP.

Properties
Energy above the lowest structure with this stoichiometry = 0 meV/atom
Magnetization = 0.00 μB/f.u.
SG = No. 160
E_tot = -197.08 eV per cell
Energy relative to the elements, uncorrected = 0.02 eV per atom

Quantum ESPRESSO input file:
```
&SYSTEM
  ibrav = 0, nat = 4, ntyp = 3
/
ATOMIC_SPECIES
Tl 204.38 Tl.upf
Cu 63.55 Cu.upf
Sb 121.76 Sb.upf
CELL_PARAMETERS angstrom
4.349 0.000 0.000
2.174 3.766 0.000
2.174 1.255 6.447
ATOMIC_POSITIONS crystal
Tl 0.014 0.014 0.959
Tl 0.229 0.229 0.312
Cu 0.474 0.474 0.577
Sb 0.786 0.786 0.642
```



A PBEsol-optimized structure of Tl2CuSb. Source: the Alexandria database, functional SCAN. Values from VASP.

Properties
Energy above the lowest structure with this stoichiometry = 358 meV/atom
Magnetization = 0.00 μB/f.u.
SG = No. 65
E_tot = -195.65 eV per cell
Energy relative to the elements, uncorrected = 0.38 eV per atom

Quantum ESPRESSO input file:
```
&SYSTEM
  ibrav = 0, nat = 4, ntyp = 3
/
ATOMIC_SPECIES
Tl 204.38 Tl.upf
Sb 121.76 Sb.upf
Cu 63.55 Cu.upf
CELL_PARAMETERS angstrom
3.156 0.000 0.000
0.000 6.037 -0.098
0.000 -3.099 5.182
ATOMIC_POSITIONS crystal
Tl 0.000 0.500 0.000
Tl 0.000 0.000 0.500
Sb 0.500 0.000 0.000
Cu 0.500 0.500 0.500
```



A PBEsol-optimized structure of Tl2CuSb. Source: the Alexandria database, functional SCAN. Values from VASP.

Properties
Energy above the lowest structure with this stoichiometry = 270 meV/atom
Magnetization = 0.00 μB/f.u.
SG = No. 166
E_tot = -196.00 eV per cell
Energy relative to the elements, uncorrected = 0.29 eV per atom

Quantum ESPRESSO input file:
```
&SYSTEM
  ibrav = 0, nat = 4, ntyp = 3
/
ATOMIC_SPECIES
Cu 63.55 Cu.upf
Tl 204.38 Tl.upf
Sb 121.76 Sb.upf
CELL_PARAMETERS angstrom
3.427 0.000 0.000
1.714 2.968 0.000
1.714 0.989 9.194
ATOMIC_POSITIONS crystal
Cu 0.000 0.000 0.000
Tl 0.736 0.736 0.792
Tl 0.264 0.264 0.208
Sb 0.500 0.500 0.500
```



A PBEsol-optimized structure of TlCu2Sb. Source: the Alexandria database, functional SCAN. Values from VASP.

Properties
Magnetization = 0.00 μB/f.u.
SG = No. 38
E_tot = -139.36 eV per cell
Energy relative to the elements, uncorrected = 0.16 eV per atom

Quantum ESPRESSO input file:
```
&SYSTEM
  ibrav = 0, nat = 4, ntyp = 3
/
ATOMIC_SPECIES
Cu 63.55 Cu.upf
Sb 121.76 Sb.upf
Tl 204.38 Tl.upf
CELL_PARAMETERS angstrom
-0.270 -2.357 2.967
-2.352 -2.428 -2.143
4.028 -1.222 -3.037
ATOMIC_POSITIONS crystal
Cu 0.823 0.000 0.647
Cu 0.670 0.500 0.341
Sb 0.111 0.000 0.223
Tl 0.393 0.500 0.786
```



A PBEsol-optimized structure of TmCuSb2. Source: the Alexandria database, functional SCAN. Values from VASP.

Properties
Magnetization = 0.00 μB/f.u.
SG = No. 129
E_tot = -288.09 eV per cell
Energy relative to the elements, uncorrected = -0.62 eV per atom

Quantum ESPRESSO input file:
```
&SYSTEM
  ibrav = 0, nat = 8, ntyp = 3
/
ATOMIC_SPECIES
Sb 121.76 Sb.upf
Tm 168.93 Tm.upf
Cu 63.55 Cu.upf
CELL_PARAMETERS angstrom
4.243 0.000 0.000
0.000 4.243 0.000
0.000 0.000 9.488
ATOMIC_POSITIONS crystal
Sb 0.500 0.500 0.000
Sb 0.000 0.000 0.000
Sb 0.000 0.500 0.335
Sb 0.500 0.000 0.665
Tm 0.500 0.000 0.251
Tm 0.000 0.500 0.749
Cu 0.500 0.500 0.500
Cu 0.000 0.000 0.500
```



A PBEsol-optimized structure of UCuSb2. Source: the Alexandria database, functional SCAN. Values from VASP.

Properties
Magnetization = 2.53 μB/f.u.
SG = No. 129
E_tot = -387.67 eV per cell
Energy relative to the elements, uncorrected = -0.15 eV per atom

Quantum ESPRESSO input file:
```
&SYSTEM
  ibrav = 0, nat = 8, ntyp = 3
/
ATOMIC_SPECIES
U 238.03 U.upf
Sb 121.76 Sb.upf
Cu 63.55 Cu.upf
CELL_PARAMETERS angstrom
4.292 0.000 0.000
0.000 4.292 0.000
0.000 0.000 9.263
ATOMIC_POSITIONS crystal
U 0.000 0.500 0.744
U 0.500 0.000 0.256
Sb 0.000 0.500 0.330
Sb 0.000 0.000 0.000
Sb 0.500 0.500 0.000
Sb 0.500 0.000 0.670
Cu 0.000 0.000 0.500
Cu 0.500 0.500 0.500
```



A PBEsol-optimized structure of CuSb2W. Source: the Alexandria database, functional SCAN. Values from VASP.

Properties
Energy above the lowest structure with this stoichiometry = 426 meV/atom
Magnetization = 0.87 μB/f.u.
SG = No. 216
E_tot = -154.86 eV per cell
Energy relative to the elements, uncorrected = 1.14 eV per atom

Quantum ESPRESSO input file:
```
&SYSTEM
  ibrav = 0, nat = 4, ntyp = 3
/
ATOMIC_SPECIES
Sb 121.76 Sb.upf
W 183.84 W.upf
Cu 63.55 Cu.upf
CELL_PARAMETERS angstrom
-4.722 -0.418 -0.046
-2.033 -4.068 1.341
-2.400 -0.218 4.082
ATOMIC_POSITIONS crystal
Sb 0.750 0.750 0.750
Sb 0.000 0.000 0.000
W 0.250 0.250 0.250
Cu 0.500 0.500 0.500
```



A PBEsol-optimized structure of CuSb2W. Source: the Alexandria database, functional SCAN. Values from VASP.

Properties
Energy above the lowest structure with this stoichiometry = 60 meV/atom
Magnetization = 0.00 μB/f.u.
SG = No. 65
E_tot = -156.32 eV per cell
Energy relative to the elements, uncorrected = 0.77 eV per atom

Quantum ESPRESSO input file:
```
&SYSTEM
  ibrav = 0, nat = 4, ntyp = 3
/
ATOMIC_SPECIES
Cu 63.55 Cu.upf
W 183.84 W.upf
Sb 121.76 Sb.upf
CELL_PARAMETERS angstrom
-1.863 0.535 -2.398
2.160 -1.986 -0.945
-4.818 -6.347 2.327
ATOMIC_POSITIONS crystal
Cu 0.500 0.500 0.000
W 0.500 0.500 0.500
Sb 0.000 0.000 0.245
Sb 0.000 0.000 0.755
```



A PBEsol-optimized structure of CuSb2W. Source: the Alexandria database, functional SCAN. Values from VASP.

Properties
Energy above the lowest structure with this stoichiometry = 0 meV/atom
Magnetization = 0.00 μB/f.u.
SG = No. 123
E_tot = -156.57 eV per cell
Energy relative to the elements, uncorrected = 0.71 eV per atom

Quantum ESPRESSO input file:
```
&SYSTEM
  ibrav = 0, nat = 4, ntyp = 3
/
ATOMIC_SPECIES
W 183.84 W.upf
Sb 121.76 Sb.upf
Cu 63.55 Cu.upf
CELL_PARAMETERS angstrom
-4.328 -0.880 -1.315
-0.084 -2.678 2.068
-1.578 2.677 3.402
ATOMIC_POSITIONS crystal
W 0.500 0.500 0.000
Sb 0.500 0.000 0.500
Sb 0.000 0.000 0.000
Cu 0.000 0.500 0.500
```



A PBEsol-optimized structure of ZrCuSbW2. Source: the Alexandria database, functional SCAN. Values from VASP.

Properties
Magnetization = 0.00 μB/f.u.
SG = No. 123
E_tot = -210.91 eV per cell
Energy relative to the elements, uncorrected = 2.33 eV per atom

Quantum ESPRESSO input file:
```
&SYSTEM
  ibrav = 0, nat = 5, ntyp = 4
/
ATOMIC_SPECIES
Cu 63.55 Cu.upf
W 183.84 W.upf
Zr 91.22 Zr.upf
Sb 121.76 Sb.upf
CELL_PARAMETERS angstrom
4.829 0.000 0.000
0.000 4.829 0.000
0.000 0.000 5.159
ATOMIC_POSITIONS crystal
Cu 0.500 0.500 0.500
W 0.000 0.500 0.000
W 0.500 0.000 0.000
Zr 0.000 0.000 0.500
Sb 0.000 0.000 0.000
```



A PBEsol-optimized structure of YCu3Sb. Source: the Alexandria database, functional SCAN. Values from VASP.

Properties
Magnetization = 0.00 μB/f.u.
SG = No. 221
E_tot = -104.45 eV per cell
Energy relative to the elements, uncorrected = 1.25 eV per atom

Quantum ESPRESSO input file:
```
&SYSTEM
  ibrav = 0, nat = 5, ntyp = 3
/
ATOMIC_SPECIES
Cu 63.55 Cu.upf
Sb 121.76 Sb.upf
Y 88.91 Y.upf
CELL_PARAMETERS angstrom
4.874 0.000 0.000
0.000 4.874 0.000
0.000 0.000 4.874
ATOMIC_POSITIONS crystal
Cu 0.000 0.500 0.000
Cu 0.000 0.000 0.500
Cu 0.500 0.000 0.000
Sb 0.500 0.500 0.500
Y 0.000 0.000 0.000
```



A PBEsol-optimized structure of YCuSb. Source: the Alexandria database, functional SCAN. Values from VASP.

Properties
Magnetization = 0.00 μB/f.u.
SG = No. 156
E_tot = -82.75 eV per cell
Energy relative to the elements, uncorrected = -0.82 eV per atom

Quantum ESPRESSO input file:
```
&SYSTEM
  ibrav = 0, nat = 3, ntyp = 3
/
ATOMIC_SPECIES
Cu 63.55 Cu.upf
Sb 121.76 Sb.upf
Y 88.91 Y.upf
CELL_PARAMETERS angstrom
-2.879 -2.551 1.236
0.425 -2.234 -3.621
2.359 -1.005 3.421
ATOMIC_POSITIONS crystal
Cu 0.843 0.000 0.000
Sb 0.827 0.667 0.333
Y 0.330 0.333 0.667
```



A PBEsol-optimized structure of Y2Cu2Sb. Source: the Alexandria database, functional SCAN. Values from VASP.

Properties
Magnetization = 0.00 μB/f.u.
SG = No. 127
E_tot = -252.92 eV per cell
Energy relative to the elements, uncorrected = -0.62 eV per atom

Quantum ESPRESSO input file:
```
&SYSTEM
  ibrav = 0, nat = 10, ntyp = 3
/
ATOMIC_SPECIES
Y 88.91 Y.upf
Cu 63.55 Cu.upf
Sb 121.76 Sb.upf
CELL_PARAMETERS angstrom
4.022 0.000 0.000
0.000 7.111 0.000
0.000 0.000 7.111
ATOMIC_POSITIONS crystal
Y 0.500 0.172 0.672
Y 0.500 0.328 0.172
Y 0.500 0.828 0.328
Y 0.500 0.672 0.828
Cu 0.000 0.379 0.879
Cu 0.000 0.879 0.621
Cu 0.000 0.621 0.121
Cu 0.000 0.121 0.379
Sb 0.000 0.500 0.500
Sb 0.000 0.000 0.000
```



A PBEsol-optimized structure of Y2CuSb. Source: the Alexandria database, functional SCAN. Values from VASP.

Properties
Magnetization = 0.01 μB/f.u.
SG = No. 123
E_tot = -110.47 eV per cell
Energy relative to the elements, uncorrected = -0.58 eV per atom

Quantum ESPRESSO input file:
```
&SYSTEM
  ibrav = 0, nat = 4, ntyp = 3
/
ATOMIC_SPECIES
Y 88.91 Y.upf
Sb 121.76 Sb.upf
Cu 63.55 Cu.upf
CELL_PARAMETERS angstrom
-2.116 -3.032 -0.390
1.910 -1.682 2.713
-4.295 2.415 4.521
ATOMIC_POSITIONS crystal
Y 0.000 0.000 0.760
Y 0.000 0.000 0.240
Sb 0.500 0.500 0.500
Cu 0.500 0.500 0.000
```



A PBEsol-optimized structure of Y2CuSb. Source: the Alexandria database, functional SCAN. Values from VASP.

Properties
Magnetization = 0.00 μB/f.u.
SG = No. 123
E_tot = -110.46 eV per cell
Energy relative to the elements, uncorrected = -0.58 eV per atom

Quantum ESPRESSO input file:
```
&SYSTEM
  ibrav = 0, nat = 4, ntyp = 3
/
ATOMIC_SPECIES
Y 88.91 Y.upf
Cu 63.55 Cu.upf
Sb 121.76 Sb.upf
CELL_PARAMETERS angstrom
3.740 0.000 -0.902
0.000 4.891 0.000
-2.597 0.000 5.658
ATOMIC_POSITIONS crystal
Y 0.500 0.500 0.500
Y 0.000 0.000 0.000
Cu 0.500 0.500 0.000
Sb 0.000 0.000 0.500
```



A PBEsol-optimized structure of Y2CuSb. Source: the Alexandria database, functional SCAN. Values from VASP.

Properties
Magnetization = 0.67 μB/f.u.
SG = No. 38
E_tot = -111.24 eV per cell
Energy relative to the elements, uncorrected = -0.77 eV per atom

Quantum ESPRESSO input file:
```
&SYSTEM
  ibrav = 0, nat = 4, ntyp = 3
/
ATOMIC_SPECIES
Sb 121.76 Sb.upf
Y 88.91 Y.upf
Cu 63.55 Cu.upf
CELL_PARAMETERS angstrom
-3.153 2.003 -1.805
-0.964 -3.435 -2.128
-2.861 0.129 5.142
ATOMIC_POSITIONS crystal
Sb 0.500 0.552 0.104
Y 0.000 0.975 0.949
Y 0.500 0.267 0.533
Cu 0.000 0.708 0.415
```